## Ba2NaVO4 (PBE+U)

Data for an optimized crystal structure of Ba2NaVO4.

Lattice parameters (Å, degrees): 5.692 5.692 5.692 100.92 113.91 113.91
Positions (direct):
Ba (0.500, 0.750, 0.250)
Ba (0.000, 0.000, 0.000)
Na (0.500, 0.250, 0.750)
V (0.000, 0.500, 0.500)
O (0.585, 0.334, 0.382)
O (0.048, 0.252, 0.666)
O (0.952, 0.618, 0.203)
O (0.415, 0.797, 0.748)

Properties
Raw total energy ... -48.75 eV/f.u.
Mass density ... 4905 kg/m3
Crystal system ... tetragonal